The following is a PBE calculation of an optimized crystal structure of BaVPd3, from Alexandria via LeMat-Bulk.

Computed properties:
* distance to the lowest polymorph of the same formula: 131.8 kJ per mole of atoms
* energy: -3.902 eV per atom
* size of the total moment: 3.940 μB per formula unit
* ΔE_f: 1.422 eV per atom

CIF file:
```
data_BaVPd3
_cell_length_a 5.331
_cell_length_b 5.331
_cell_length_c 5.331
_cell_angle_alpha 90.00
_cell_angle_beta 90.00
_cell_angle_gamma 90.00
_space_group_name_H-M_alt 'P 1'
_space_group_IT_number 1
loop_
_space_group_symop_operation_xyz
'x,y,z'
loop_
_atom_site_label
_atom_site_type_symbol
_atom_site_fract_x
_atom_site_fract_y
_atom_site_fract_z
_atom_site_occupancy
Ba1 Ba 0.000 0.000 0.000 1
Pd1 Pd 0.000 0.500 0.000 1
Pd2 Pd 0.000 0.000 0.500 1
Pd3 Pd 0.500 0.000 0.000 1
V1 V 0.500 0.500 0.500 1
```